First-principles (PBE-GGA) data for FeSi2MoRh after structural relaxation, as listed in the Alexandria database.

abc: 4.4238 4.4238 4.6996
angles: 90.00 90.00 90.00
Positions (direct):
Fe: 0.0000 0.0000 0.0000
Si: 0.0000 0.5000 0.5000
Si: 0.5000 0.0000 0.5000
Mo: 0.5000 0.5000 0.0000
Rh: 0.0000 0.0000 0.5000

Results
Crystal system   tetragonal
Symmetry   P4/mmm (123)
N(E_F)   4.14 states/eV per cell
Calculated density   5.613 Mg/m³
Electronic total energy   -32.500 eV per cell

First-principles (PBE-GGA) data for FeSiMoRh after structural relaxation, as listed in the Alexandria database.

abc: 5.9812 5.9812 5.9812
angles: 90.00 90.00 90.00
Positions (direct):
Fe: 0.0000 0.0000 0.0000
Fe: 0.0000 0.5000 0.5000
Fe: 0.5000 0.0000 0.5000
Fe: 0.5000 0.5000 0.0000
Si: 0.0000 0.0000 0.5000
Si: 0.0000 0.5000 0.0000
Si: 0.5000 0.0000 0.0000
Si: 0.5000 0.5000 0.5000
Mo: 0.2500 0.2500 0.2500
Mo: 0.2500 0.7500 0.7500
Mo: 0.7500 0.2500 0.7500
Mo: 0.7500 0.7500 0.2500
Rh: 0.2500 0.2500 0.7500
Rh: 0.2500 0.7500 0.2500
Rh: 0.7500 0.2500 0.2500
Rh: 0.7500 0.7500 0.7500

Results
Crystal system   cubic
Symmetry   F-43m (216)
N(E_F)   13.05 states/eV per cell
Calculated density   8.778 Mg/m³
Electronic total energy   -132.955 eV per cell

First-principles (PBE-GGA) data for FeTe2MoRh after structural relaxation, as listed in the Alexandria database.

abc: 5.1974 5.1974 4.7933
angles: 90.00 90.00 90.00
Positions (direct):
Fe: 0.0000 0.0000 0.0000
Te: 0.0000 0.5000 0.5000
Te: 0.5000 0.0000 0.5000
Mo: 0.5000 0.5000 0.0000
Rh: 0.5000 0.5000 0.5000

Results
Crystal system   tetragonal
Symmetry   P4/mmm (123)
N(E_F)   6.07 states/eV per cell
Calculated density   6.539 Mg/m³
Electronic total energy   -26.559 eV per cell

First-principles (PBE-GGA) data for TiFeMoRh after structural relaxation, as listed in the Alexandria database.

abc: 6.1154 6.1154 6.1154
angles: 90.00 90.00 90.00
Positions (direct):
Ti: 0.0000 0.0000 0.0000
Ti: 0.0000 0.5000 0.5000
Ti: 0.5000 0.0000 0.5000
Ti: 0.5000 0.5000 0.0000
Fe: 0.0000 0.0000 0.5000
Fe: 0.0000 0.5000 0.0000
Fe: 0.5000 0.0000 0.0000
Fe: 0.5000 0.5000 0.5000
Mo: 0.2500 0.2500 0.7500
Mo: 0.2500 0.7500 0.2500
Mo: 0.7500 0.2500 0.2500
Mo: 0.7500 0.7500 0.7500
Rh: 0.2500 0.2500 0.2500
Rh: 0.2500 0.7500 0.7500
Rh: 0.7500 0.2500 0.7500
Rh: 0.7500 0.7500 0.2500

Results
Energy of formation from the pure elements   -0.182 eV/atom
Crystal system   cubic
Symmetry   F-43m (216)
N(E_F)   20.03 states/eV per cell
Calculated density   8.787 Mg/m³

First-principles (PBE-GGA) data for VFeMoRh after structural relaxation, as listed in the Alexandria database.

abc: 6.0465 6.0465 6.0465
angles: 90.00 90.00 90.00
Positions (direct):
V: 0.0000 0.0000 0.0000
V: 0.0000 0.5000 0.5000
V: 0.5000 0.0000 0.5000
V: 0.5000 0.5000 0.0000
Fe: 0.0000 0.0000 0.5000
Fe: 0.0000 0.5000 0.0000
Fe: 0.5000 0.0000 0.0000
Fe: 0.5000 0.5000 0.5000
Mo: 0.2500 0.2500 0.7500
Mo: 0.2500 0.7500 0.2500
Mo: 0.7500 0.2500 0.2500
Mo: 0.7500 0.7500 0.7500
Rh: 0.2500 0.2500 0.2500
Rh: 0.2500 0.7500 0.7500
Rh: 0.7500 0.2500 0.7500
Rh: 0.7500 0.7500 0.2500

Results
Energy of formation from the pure elements   -0.056 eV/atom
Crystal system   cubic
Symmetry   F-43m (216)
N(E_F)   18.13 states/eV per cell
Calculated density   9.183 Mg/m³

First-principles (PBE-GGA) data for Fe2MoRu after structural relaxation, as listed in the Alexandria database.

abc: 3.7093 3.7093 3.7273
angles: 90.00 90.00 90.00
Positions (direct):
Fe: 0.0000 0.5000 0.0000
Fe: 0.5000 0.0000 0.0000
Mo: 0.0000 0.0000 0.5000
Ru: 0.5000 0.5000 0.5000

Results
Energy of formation from the pure elements   0.085 eV/atom
Crystal system   tetragonal
Symmetry   P4/mmm (123)
N(E_F)   4.46 states/eV per cell
Calculated density   9.996 Mg/m³

What did the fifth record say?
First-principles (PBE-GGA) data for VFeMoRh after structural relaxation, as listed in the Alexandria database.

abc: 6.0465 6.0465 6.0465
angles: 90.00 90.00 90.00
Positions (direct):
V: 0.0000 0.0000 0.0000
V: 0.0000 0.5000 0.5000
V: 0.5000 0.0000 0.5000
V: 0.5000 0.5000 0.0000
Fe: 0.0000 0.0000 0.5000
Fe: 0.0000 0.5000 0.0000
Fe: 0.5000 0.0000 0.0000
Fe: 0.5000 0.5000 0.5000
Mo: 0.2500 0.2500 0.7500
Mo: 0.2500 0.7500 0.2500
Mo: 0.7500 0.2500 0.2500
Mo: 0.7500 0.7500 0.7500
Rh: 0.2500 0.2500 0.2500
Rh: 0.2500 0.7500 0.7500
Rh: 0.7500 0.2500 0.7500
Rh: 0.7500 0.7500 0.2500

Results
Energy of formation from the pure elements   -0.056 eV/atom
Crystal system   cubic
Symmetry   F-43m (216)
N(E_F)   18.13 states/eV per cell
Calculated density   9.183 Mg/m³

Please write out number 4 again, unchanged.
First-principles (PBE-GGA) data for TiFeMoRh after structural relaxation, as listed in the Alexandria database.

abc: 6.1154 6.1154 6.1154
angles: 90.00 90.00 90.00
Positions (direct):
Ti: 0.0000 0.0000 0.0000
Ti: 0.0000 0.5000 0.5000
Ti: 0.5000 0.0000 0.5000
Ti: 0.5000 0.5000 0.0000
Fe: 0.0000 0.0000 0.5000
Fe: 0.0000 0.5000 0.0000
Fe: 0.5000 0.0000 0.0000
Fe: 0.5000 0.5000 0.5000
Mo: 0.2500 0.2500 0.7500
Mo: 0.2500 0.7500 0.2500
Mo: 0.7500 0.2500 0.2500
Mo: 0.7500 0.7500 0.7500
Rh: 0.2500 0.2500 0.2500
Rh: 0.2500 0.7500 0.7500
Rh: 0.7500 0.2500 0.7500
Rh: 0.7500 0.7500 0.2500

Results
Energy of formation from the pure elements   -0.182 eV/atom
Crystal system   cubic
Symmetry   F-43m (216)
N(E_F)   20.03 states/eV per cell
Calculated density   8.787 Mg/m³

- Look up the calculated density of the first one.
  5.613 Mg/m³

- Which value of N(E_F) does entry 4 give?
  20.03 states/eV per cell